# CoSiPd3

CoSiPd3 at its PBEsol-relaxed geometry (SCAN, the Alexandria database).

a = 4.4454 Å, b = 4.4454 Å, c = 4.4454 Å
α = 90.00°, β = 90.00°, γ = 90.00°
Fractional coordinates of all 5 atoms:
1 Co 0.0000 0.0000 0.0000
2 Si 0.5000 0.5000 0.5000
3 Pd 0.0000 0.0000 0.5000
4 Pd 0.0000 0.5000 0.0000
5 Pd 0.5000 0.0000 0.0000

Calculated values
**V**: 88 Å³ per cell
**Spin magnetization**: 3.3 Bohr magnetons per cell
**E**: -24.183 eV/atom



# CaTi2O4

CaTi2O4 at its PBEsol-relaxed geometry (SCAN, the Alexandria database).

a = 9.2852 Å, b = 2.9356 Å, c = 10.8294 Å
α = 90.00°, β = 90.00°, γ = 90.00°
Fractional coordinates of all 28 atoms:
1 Ca 0.2390 0.2500 0.1612
2 Ca 0.2610 0.7500 0.6612
3 Ca 0.7390 0.2500 0.3388
4 Ca 0.7610 0.7500 0.8388
5 Ti 0.0608 0.2500 0.3926
6 Ti 0.0839 0.2500 0.8985
7 Ti 0.4161 0.7500 0.3985
8 Ti 0.4392 0.7500 0.8926
9 Ti 0.5608 0.2500 0.1074
10 Ti 0.5839 0.2500 0.6015
11 Ti 0.9161 0.7500 0.1015
12 Ti 0.9392 0.7500 0.6074
13 O 0.0214 0.7500 0.7809
14 O 0.0920 0.2500 0.5752
15 O 0.1181 0.7500 0.0287
16 O 0.2091 0.7500 0.3393
17 O 0.2909 0.2500 0.8393
18 O 0.3819 0.2500 0.5287
19 O 0.4080 0.7500 0.0752
20 O 0.4786 0.2500 0.2809
21 O 0.5214 0.7500 0.7191
22 O 0.5920 0.2500 0.9248
23 O 0.6181 0.7500 0.4713
24 O 0.7091 0.7500 0.1607
25 O 0.7909 0.2500 0.6607
26 O 0.8819 0.2500 0.9713
27 O 0.9080 0.7500 0.4248
28 O 0.9786 0.2500 0.2191

Calculated values
**V**: 295 Å³ per cell
**Spin magnetization**: 7.4 Bohr magnetons per cell
**E above lowest polymorph**: 34.2 meV/atom



# YMnIr2

YMnIr2 at its PBEsol-relaxed geometry (SCAN, the Alexandria database).

a = 4.5322 Å, b = 4.5322 Å, c = 4.5322 Å
α = 60.00°, β = 60.00°, γ = 60.00°
Fractional coordinates of all 4 atoms:
1 Y 0.0000 0.0000 0.0000
2 Mn 0.5000 0.5000 0.5000
3 Ir 0.2500 0.2500 0.2500
4 Ir 0.7500 0.7500 0.7500

Calculated values
**V**: 66 Å³ per cell
**Spin magnetization**: 4.5 Bohr magnetons per cell
**Calculated formation energy**: -0.542 eV/atom



# AgSn3B

AgSn3B at its PBEsol-relaxed geometry (SCAN, the Alexandria database).

a = 5.2184 Å, b = 5.2184 Å, c = 5.2184 Å
α = 90.00°, β = 90.00°, γ = 90.00°
Fractional coordinates of all 5 atoms:
1 Ag 0.0000 0.0000 0.0000
2 Sn 0.0000 0.0000 0.5000
3 Sn 0.0000 0.5000 0.0000
4 Sn 0.5000 0.0000 0.0000
5 B 0.5000 0.5000 0.5000

Calculated values
**V**: 142 Å³ per cell
**Spin magnetization**: 0.0 Bohr magnetons per cell
**Calculated formation energy**: 1.448 eV/atom



# LaCrCuCl2

LaCrCuCl2 at its PBEsol-relaxed geometry (SCAN, the Alexandria database).

a = 4.5396 Å, b = 4.5396 Å, c = 5.3977 Å
α = 90.00°, β = 90.00°, γ = 90.00°
Fractional coordinates of all 5 atoms:
1 La 0.0000 0.0000 0.0000
2 Cr 0.0000 0.0000 0.5000
3 Cu 0.5000 0.5000 0.0000
4 Cl 0.0000 0.5000 0.5000
5 Cl 0.5000 0.0000 0.5000

Calculated values
**V**: 111 Å³ per cell
**Spin magnetization**: 2.7 Bohr magnetons per cell
**E**: -18.777 eV/atom



# CoMoOs2

CoMoOs2 at its PBEsol-relaxed geometry (SCAN, the Alexandria database).

a = 4.5819 Å, b = 4.5819 Å, c = 4.5819 Å
α = 131.09°, β = 131.09°, γ = 71.67°
Fractional coordinates of all 4 atoms:
1 Co 0.0000 0.0000 0.0000
2 Mo 0.5000 0.5000 0.0000
3 Os 0.2500 0.7500 0.5000
4 Os 0.7500 0.2500 0.5000

Calculated values
**V**: 53 Å³ per cell
**Spin magnetization**: 1.0 Bohr magnetons per cell
**E above lowest polymorph**: 45.3 meV/atom
**Calculated formation energy**: 0.116 eV/atom



# ScTa2Au

ScTa2Au at its PBEsol-relaxed geometry (SCAN, the Alexandria database).

a = 5.1394 Å, b = 5.1394 Å, c = 5.1394 Å
α = 132.83°, β = 132.83°, γ = 68.92°
Fractional coordinates of all 4 atoms:
1 Sc 0.0000 0.0000 0.0000
2 Ta 0.5000 0.5000 0.0000
3 Ta 0.7500 0.2500 0.5000
4 Au 0.2500 0.7500 0.5000

Calculated values
**V**: 72 Å³ per cell
**Spin magnetization**: 0.0 Bohr magnetons per cell
**E above lowest polymorph**: 0.0 meV/atom
**Calculated formation energy**: -0.087 eV/atom



# Ga3IrRu

Ga3IrRu at its PBEsol-relaxed geometry (SCAN, the Alexandria database).

a = 4.5528 Å, b = 4.5528 Å, c = 4.5528 Å
α = 90.00°, β = 90.00°, γ = 90.00°
Fractional coordinates of all 5 atoms:
1 Ga 0.0000 0.0000 0.5000
2 Ga 0.0000 0.5000 0.0000
3 Ga 0.5000 0.0000 0.0000
4 Ir 0.5000 0.5000 0.5000
5 Ru 0.0000 0.0000 0.0000

Calculated values
**V**: 94 Å³ per cell
**Spin magnetization**: 0.0 Bohr magnetons per cell
**Calculated formation energy**: 0.811 eV/atom